[1]
# Ca4LaEu

Ca4LaEu after structural relaxation (GGA-PBE, Alexandria via LeMat-Bulk).

abc: 7.194 7.194 7.194
angles: 60.00 60.00 60.00
Sites, in units of the cell vectors:
Ca 0.125 0.125 0.125
Ca 0.125 0.125 0.624
Ca 0.125 0.624 0.125
Ca 0.624 0.125 0.125
La 0.500 0.500 0.500
Eu 0.750 0.750 0.750

Values from the calculation:
For the energy relative to the elements, the calculation gives 0.180 eV per atom. The crystal system is cubic. The value obtained for the spin magnetization is 8.22 μB per cell. As for the symmetry: F-43m.

---

[2]
# CaLaEu

CaLaEu after structural relaxation (GGA-PBE, Alexandria via LeMat-Bulk).

abc: 8.635 8.635 8.635
angles: 154.35 154.35 36.59
Sites, in units of the cell vectors:
Ca 0.000 0.000 0.000
La 0.666 0.666 0.000
Eu 0.325 0.325 0.000

Values from the calculation:
For the energy relative to the elements, the calculation gives 0.056 eV per atom. The crystal system is tetragonal. The value obtained for the spin magnetization is 7.71 μB per cell. As for the symmetry: I4mm.

---

[3]
# CaLaEuMg

CaLaEuMg after structural relaxation (GGA-PBE, Alexandria via LeMat-Bulk).

abc: 5.861 5.861 5.861
angles: 60.00 60.00 60.00
Sites, in units of the cell vectors:
Ca 0.000 0.000 0.000
La 0.250 0.250 0.250
Eu 0.750 0.750 0.750
Mg 0.500 0.500 0.500

Values from the calculation:
For the energy relative to the elements, the calculation gives 0.042 eV per atom. The crystal system is cubic. The value obtained for the spin magnetization is 7.68 μB per cell. As for the symmetry: F-43m.

---

[4]
# CaLaEuPb

CaLaEuPb after structural relaxation (GGA-PBE, Alexandria via LeMat-Bulk).

abc: 5.777 5.777 5.777
angles: 60.00 60.00 60.00
Sites, in units of the cell vectors:
Ca 0.000 0.000 0.000
La 0.250 0.250 0.250
Eu 0.750 0.750 0.750
Pb 0.500 0.500 0.500

Values from the calculation:
For the energy relative to the elements, the calculation gives -0.232 eV per atom. The crystal system is cubic. The value obtained for the spin magnetization is 7.49 μB per cell. As for the symmetry: F-43m.

---

[5]
# CaLaPmEu

CaLaPmEu after structural relaxation (GGA-PBE, Alexandria via LeMat-Bulk).

abc: 6.018 6.018 6.018
angles: 60.00 60.00 60.00
Sites, in units of the cell vectors:
Ca 0.000 0.000 0.000
La 0.750 0.750 0.750
Pm 0.500 0.500 0.500
Eu 0.250 0.250 0.250

Values from the calculation:
For the energy relative to the elements, the calculation gives 0.120 eV per atom. The crystal system is cubic. The value obtained for the spin magnetization is 7.18 μB per cell. As for the symmetry: F-43m.

---

[6]
# CaLaPrEu

CaLaPrEu after structural relaxation (GGA-PBE, Alexandria via LeMat-Bulk).

abc: 6.037 6.037 6.037
angles: 60.00 60.00 60.00
Sites, in units of the cell vectors:
Ca 0.000 0.000 0.000
La 0.750 0.750 0.750
Pr 0.250 0.250 0.250
Eu 0.500 0.500 0.500

Values from the calculation:
For the energy relative to the elements, the calculation gives 0.109 eV per atom. The crystal system is cubic. The value obtained for the spin magnetization is 7.41 μB per cell. As for the symmetry: F-43m.

---

[7]
# CaLaEuSc

CaLaEuSc after structural relaxation (GGA-PBE, Alexandria via LeMat-Bulk).

abc: 5.844 5.844 5.844
angles: 60.00 60.00 60.00
Sites, in units of the cell vectors:
Ca 0.000 0.000 0.000
La 0.250 0.250 0.250
Eu 0.750 0.750 0.750
Sc 0.500 0.500 0.500

Values from the calculation:
For the energy relative to the elements, the calculation gives 0.172 eV per atom. The crystal system is cubic. The value obtained for the spin magnetization is 7.24 μB per cell. As for the symmetry: F-43m.

---

[8]
# CaLaSmEu

CaLaSmEu after structural relaxation (GGA-PBE, Alexandria via LeMat-Bulk).

abc: 6.009 6.009 6.009
angles: 60.00 60.00 60.00
Sites, in units of the cell vectors:
Ca 0.000 0.000 0.000
La 0.250 0.250 0.250
Sm 0.500 0.500 0.500
Eu 0.750 0.750 0.750

Values from the calculation:
For the energy relative to the elements, the calculation gives 0.122 eV per atom. The crystal system is cubic. The value obtained for the spin magnetization is 7.18 μB per cell. As for the symmetry: F-43m.

---

[9]
# CaLaEuTm

CaLaEuTm after structural relaxation (GGA-PBE, Alexandria via LeMat-Bulk).

abc: 5.945 5.945 5.945
angles: 60.00 60.00 60.00
Sites, in units of the cell vectors:
Ca 0.000 0.000 0.000
La 0.750 0.750 0.750
Eu 0.250 0.250 0.250
Tm 0.500 0.500 0.500

Values from the calculation:
For the energy relative to the elements, the calculation gives 0.133 eV per atom. The crystal system is cubic. The value obtained for the spin magnetization is 7.30 μB per cell. As for the symmetry: F-43m.

---

[10]
# CaLaEuY

CaLaEuY after structural relaxation (GGA-PBE, Alexandria via LeMat-Bulk).

abc: 5.989 5.989 5.989
angles: 60.00 60.00 60.00
Sites, in units of the cell vectors:
Ca 0.000 0.000 0.000
La 0.750 0.750 0.750
Eu 0.250 0.250 0.250
Y 0.500 0.500 0.500

Values from the calculation:
For the energy relative to the elements, the calculation gives 0.128 eV per atom. The crystal system is cubic. The value obtained for the spin magnetization is 7.26 μB per cell. As for the symmetry: F-43m.

---

[11]
# LiCaEu2

LiCaEu2 after structural relaxation (GGA-PBE, Alexandria via LeMat-Bulk).

abc: 12.310 12.310 12.310
angles: 17.86 17.86 17.86
Sites, in units of the cell vectors:
Li 0.000 0.000 0.000
Ca 0.500 0.500 0.500
Eu 0.256 0.256 0.256
Eu 0.744 0.744 0.744

Values from the calculation:
For the energy relative to the elements, the calculation gives 0.085 eV per atom. The crystal system is trigonal. The value obtained for the spin magnetization is 15.13 μB per cell. As for the symmetry: R-3m.

---

[12]
# LiCa2Eu

LiCa2Eu after structural relaxation (GGA-PBE, Alexandria via LeMat-Bulk).

abc: 4.014 4.014 9.257
angles: 90.00 90.00 90.00
Sites, in units of the cell vectors:
Li 0.000 0.000 0.000
Ca 0.500 0.500 0.207
Ca 0.500 0.500 0.793
Eu 0.000 0.000 0.500

Values from the calculation:
For the energy relative to the elements, the calculation gives 0.027 eV per atom. The crystal system is tetragonal. The value obtained for the spin magnetization is 7.32 μB per cell. As for the symmetry: P4/mmm.

---

[13]
# LiCaEu2

LiCaEu2 after structural relaxation (GGA-PBE, Alexandria via LeMat-Bulk).

abc: 5.955 5.955 4.376
angles: 90.00 90.00 90.00
Sites, in units of the cell vectors:
Li 0.000 0.000 0.000
Ca 0.500 0.500 0.000
Eu 0.000 0.500 0.500
Eu 0.500 0.000 0.500

Values from the calculation:
For the energy relative to the elements, the calculation gives 0.088 eV per atom. The crystal system is tetragonal. The value obtained for the spin magnetization is 15.22 μB per cell. As for the symmetry: P4/mmm.

---

[14]
# LiCa2Eu

LiCa2Eu after structural relaxation (GGA-PBE, Alexandria via LeMat-Bulk).

abc: 5.982 5.982 5.982
angles: 60.00 60.00 60.00
Sites, in units of the cell vectors:
Li 0.000 0.000 0.000
Ca 0.250 0.250 0.250
Ca 0.750 0.750 0.750
Eu 0.500 0.500 0.500

Values from the calculation:
For the energy relative to the elements, the calculation gives 0.114 eV per atom. The crystal system is cubic. The value obtained for the spin magnetization is 7.57 μB per cell. As for the symmetry: Fm-3m.

---

[15]
# LiCaEu2

LiCaEu2 after structural relaxation (GGA-PBE, Alexandria via LeMat-Bulk).

abc: 6.029 6.029 6.029
angles: 60.00 60.00 60.00
Sites, in units of the cell vectors:
Li 0.000 0.000 0.000
Ca 0.500 0.500 0.500
Eu 0.250 0.250 0.250
Eu 0.750 0.750 0.750

Values from the calculation:
For the energy relative to the elements, the calculation gives 0.108 eV per atom. The crystal system is cubic. The value obtained for the spin magnetization is 15.42 μB per cell. As for the symmetry: Fm-3m.

---

[16]
# Li2CaEu

Li2CaEu after structural relaxation (GGA-PBE, Alexandria via LeMat-Bulk).

abc: 5.664 5.664 5.664
angles: 60.00 60.00 60.00
Sites, in units of the cell vectors:
Li 0.250 0.250 0.250
Li 0.750 0.750 0.750
Ca 0.000 0.000 0.000
Eu 0.500 0.500 0.500

Values from the calculation:
For the energy relative to the elements, the calculation gives 0.045 eV per atom. The crystal system is cubic. The value obtained for the spin magnetization is 7.72 μB per cell. As for the symmetry: Fm-3m.

---

[17]
# LiCa2Eu

LiCa2Eu after structural relaxation (GGA-PBE, Alexandria via LeMat-Bulk).

abc: 5.316 5.316 5.387
angles: 90.00 90.00 90.00
Sites, in units of the cell vectors:
Li 0.000 0.000 0.000
Ca 0.000 0.500 0.500
Ca 0.500 0.000 0.500
Eu 0.500 0.500 0.000

Values from the calculation:
For the energy relative to the elements, the calculation gives 0.083 eV per atom. The crystal system is tetragonal. The value obtained for the spin magnetization is 7.56 μB per cell. As for the symmetry: P4/mmm.

---

[18]
# Li2CaEu

Li2CaEu after structural relaxation (GGA-PBE, Alexandria via LeMat-Bulk).

abc: 3.998 3.998 8.015
angles: 90.00 90.00 90.00
Sites, in units of the cell vectors:
Li 0.000 0.000 0.240
Li 0.000 0.000 0.760
Ca 0.500 0.500 0.000
Eu 0.500 0.500 0.500

Values from the calculation:
For the energy relative to the elements, the calculation gives 0.040 eV per atom. The crystal system is tetragonal. The value obtained for the spin magnetization is 7.66 μB per cell. As for the symmetry: P4/mmm.

---

[19]
# LiCaEu2

LiCaEu2 after structural relaxation (GGA-PBE, Alexandria via LeMat-Bulk).

abc: 3.923 3.923 9.791
angles: 90.00 90.00 90.00
Sites, in units of the cell vectors:
Li 0.000 0.000 0.000
Ca 0.000 0.000 0.500
Eu 0.500 0.500 0.211
Eu 0.500 0.500 0.789

Values from the calculation:
For the energy relative to the elements, the calculation gives 0.043 eV per atom. The crystal system is tetragonal. The value obtained for the spin magnetization is 15.14 μB per cell. As for the symmetry: P4/mmm.

---

[20]
# Li4CaEu

Li4CaEu after structural relaxation (GGA-PBE, Alexandria via LeMat-Bulk).

abc: 6.183 6.183 6.183
angles: 60.00 60.00 60.00
Sites, in units of the cell vectors:
Li 0.124 0.124 0.124
Li 0.124 0.124 0.627
Li 0.124 0.627 0.124
Li 0.627 0.124 0.124
Ca 0.750 0.750 0.750
Eu 0.500 0.500 0.500

Values from the calculation:
For the energy relative to the elements, the calculation gives 0.007 eV per atom. The crystal system is cubic. The value obtained for the spin magnetization is 8.65 μB per cell. As for the symmetry: F-43m.